This record from Alexandria via LeMat-Bulk describes crystalline Mn6V5Ga at its relaxed geometry. The functional is PBE-GGA.

a b c (Å): 4.0734 5.7837 7.0679
angles (deg): 114.15 106.75 90.00
Last column: magnetic moment on the atom in μB.
Fractional positions:
Mn1 0.8301 0.5757 0.6602  0.75
Mn2 0.8301 0.0845 0.6602  0.75
Mn3 0.5000 0.7385 0.0000  0.84
Mn4 0.5000 0.2615 0.0000  0.84
Mn5 0.1699 0.9155 0.3398  0.75
Mn6 0.1699 0.4243 0.3398  0.75
Ga1 0.0000 0.0000 0.0000  -0.03
V1 0.6614 0.1614 0.3229  -0.53
V2 0.3313 0.3313 0.6627  -0.51
V3 0.0000 0.5000 0.0000  -0.51
V4 0.6687 0.6687 0.3373  -0.51
V5 0.3386 0.8386 0.6771  -0.53

Output
The formation enthalpy at 0 K comes out at -5.8 kcal/mol of atoms. The density comes out at 7.5 g cm⁻³. As for the volume: 144.2 Å³/cell. The space-group type is No. 71.